Entry 1:
This record from Alexandria describes ZrFe2W after structural relaxation. The functional is PBE.

Values from the calculation:
The symmetry is Immm, No. 71. For the formation energy from the elements, the calculation gives 0.1973 eV/atom.

Cell lengths 3.2706, 4.4823, 8.3089 Å; angles 90.00, 90.00, 90.00 degrees
Sites, in units of the cell vectors:
1 Zr 0.0000 0.0000 0.0000
2 Zr 0.5000 0.5000 0.5000
3 Fe 0.0000 0.5000 0.2384
4 Fe 0.0000 0.5000 0.7616
5 Fe 0.5000 0.0000 0.2616
6 Fe 0.5000 0.0000 0.7384
7 W 0.0000 0.0000 0.5000
8 W 0.5000 0.5000 0.0000

Entry 2:
This record from Alexandria describes Tm4Bi2AsSe after structural relaxation. The functional is PBE.

Values from the calculation:
The calculation puts the uncorrected formation energy at -1.176 eV per atom. The symmetry is P2/m, No. 10.

Cell lengths 7.3052, 4.2201, 7.3817 Å; angles 90.00, 109.20, 90.00 degrees
Sites, in units of the cell vectors:
1 Tm 0.2375 0.0000 0.2271
2 Tm 0.2512 0.5000 0.7697
3 Tm 0.7488 0.5000 0.2303
4 Tm 0.7625 0.0000 0.7729
5 Bi 0.0000 0.0000 0.5000
6 Bi 0.5000 0.5000 0.5000
7 As 0.0000 0.5000 0.0000
8 Se 0.5000 0.0000 0.0000

Entry 3:
This record from Alexandria describes ZnRe2Hg after structural relaxation. The functional is PBE.

Values from the calculation:
The symmetry is Pmmm, No. 47. For the formation energy from the elements, the calculation gives 0.6688 eV/atom. The offset from the most stable computed form comes out at 411.0 meV per atom.

Cell lengths 3.1225, 4.4142, 4.7027 Å; angles 90.00, 90.00, 90.00 degrees
Sites, in units of the cell vectors:
1 Zn 0.0000 0.0000 0.0000
2 Re 0.0000 0.5000 0.5000
3 Re 0.5000 0.0000 0.5000
4 Hg 0.5000 0.5000 0.0000

Entry 4:
This record from Alexandria describes Zr3As after structural relaxation. The functional is PBE.

Values from the calculation:
The symmetry is P2/m, No. 10. For the formation energy from the elements, the calculation gives -0.2705 eV/atom.

Cell lengths 3.2896, 4.9907, 5.2775 Å; angles 90.00, 99.94, 90.00 degrees
Sites, in units of the cell vectors:
1 Zr 0.0000 0.0000 0.0000
2 Zr 0.3229 0.5000 0.7425
3 Zr 0.6771 0.5000 0.2575
4 As 0.5000 0.0000 0.5000

Entry 5:
This record from Alexandria describes Li2CoCu after structural relaxation. The functional is PBE.

Values from the calculation:
The symmetry is P4/mmm, No. 123. For the formation energy from the elements, the calculation gives 0.2054 eV/atom. The offset from the most stable computed form comes out at 120.6 meV per atom.

Cell lengths 3.5486, 3.5486, 3.8952 Å; angles 90.00, 90.00, 90.00 degrees
Sites, in units of the cell vectors:
1 Li 0.0000 0.5000 0.0000
2 Li 0.5000 0.0000 0.0000
3 Co 0.0000 0.0000 0.5000
4 Cu 0.5000 0.5000 0.5000

Entry 6:
This record from Alexandria describes Ac4Hg after structural relaxation. The functional is PBE.

Values from the calculation:
The symmetry is I4/mmm, No. 139. For the formation energy from the elements, the calculation gives -0.1897 eV/atom. The offset from the most stable computed form comes out at 0.0 meV per atom.

Cell lengths 4.0250, 4.0250, 24.9983 Å; angles 90.00, 90.00, 90.00 degrees
Sites, in units of the cell vectors:
1 Ac 0.0000 0.0000 0.0814
2 Ac 0.0000 0.0000 0.3055
3 Ac 0.0000 0.0000 0.6945
4 Ac 0.0000 0.0000 0.9186
5 Ac 0.5000 0.5000 0.1945
6 Ac 0.5000 0.5000 0.4186
7 Ac 0.5000 0.5000 0.5814
8 Ac 0.5000 0.5000 0.8055
9 Hg 0.0000 0.0000 0.5000
10 Hg 0.5000 0.5000 0.0000

Entry 7:
This record from Alexandria describes Ac12Rh3C5 after structural relaxation. The functional is PBE.

Values from the calculation:
The symmetry is Ia-3d, No. 230. For the formation energy from the elements, the calculation gives -0.0050 eV/atom.

Cell lengths 14.6464, 14.6464, 14.6464 Å; angles 109.47, 109.47, 109.47 degrees
Sites, in units of the cell vectors:
1 Ac 0.0293 0.2078 0.1258
2 Ac 0.0293 0.3215 0.9034
3 Ac 0.0819 0.7078 0.6785
4 Ac 0.0819 0.8742 0.4034
5 Ac 0.0966 0.6258 0.4181
6 Ac 0.0966 0.9707 0.6785
7 Ac 0.1258 0.0293 0.2078
8 Ac 0.1258 0.5966 0.9181
9 Ac 0.1785 0.2078 0.5819
10 Ac 0.1785 0.4707 0.5966
11 Ac 0.2078 0.1258 0.0293
12 Ac 0.2078 0.5819 0.1785
13 Ac 0.2922 0.3215 0.9181
14 Ac 0.2922 0.4707 0.3742
15 Ac 0.3215 0.9034 0.0293
16 Ac 0.3215 0.9181 0.2922
17 Ac 0.3742 0.2922 0.4707
18 Ac 0.3742 0.5819 0.9034
19 Ac 0.4034 0.0819 0.8742
20 Ac 0.4034 0.8215 0.5293
21 Ac 0.4181 0.0966 0.6258
22 Ac 0.4181 0.8215 0.7922
23 Ac 0.4707 0.3742 0.2922
24 Ac 0.4707 0.5966 0.1785
25 Ac 0.5293 0.4034 0.8215
26 Ac 0.5293 0.6258 0.7078
27 Ac 0.5819 0.1785 0.2078
28 Ac 0.5819 0.9034 0.3742
29 Ac 0.5966 0.1785 0.4707
30 Ac 0.5966 0.9181 0.1258
31 Ac 0.6258 0.4181 0.0966
32 Ac 0.6258 0.7078 0.5293
33 Ac 0.6785 0.0819 0.7078
34 Ac 0.6785 0.0966 0.9707
35 Ac 0.7078 0.5293 0.6258
36 Ac 0.7078 0.6785 0.0819
37 Ac 0.7922 0.4181 0.8215
38 Ac 0.7922 0.8742 0.9707
39 Ac 0.8215 0.5293 0.4034
40 Ac 0.8215 0.7922 0.4181
41 Ac 0.8742 0.4034 0.0819
42 Ac 0.8742 0.9707 0.7922
43 Ac 0.9034 0.0293 0.3215
44 Ac 0.9034 0.3742 0.5819
45 Ac 0.9181 0.1258 0.5966
46 Ac 0.9181 0.2922 0.3215
47 Ac 0.9707 0.6785 0.0966
48 Ac 0.9707 0.7922 0.8742
49 Rh 0.1250 0.2500 0.3750
50 Rh 0.1250 0.3750 0.7500
51 Rh 0.2500 0.3750 0.1250
52 Rh 0.2500 0.8750 0.6250
53 Rh 0.3750 0.1250 0.2500
54 Rh 0.3750 0.7500 0.1250
55 Rh 0.6250 0.2500 0.8750
56 Rh 0.6250 0.8750 0.7500
57 Rh 0.7500 0.1250 0.3750
58 Rh 0.7500 0.6250 0.8750
59 Rh 0.8750 0.6250 0.2500
60 Rh 0.8750 0.7500 0.6250
61 C 0.0000 0.0000 0.0000
62 C 0.0000 0.0000 0.5000
63 C 0.0000 0.5000 0.0000
64 C 0.0000 0.5000 0.5000
65 C 0.1250 0.7500 0.8750
66 C 0.1250 0.8750 0.2500
67 C 0.2500 0.1250 0.8750
68 C 0.2500 0.6250 0.3750
69 C 0.3750 0.2500 0.6250
70 C 0.3750 0.6250 0.7500
71 C 0.5000 0.0000 0.0000
72 C 0.5000 0.0000 0.5000
73 C 0.5000 0.5000 0.0000
74 C 0.5000 0.5000 0.5000
75 C 0.6250 0.3750 0.2500
76 C 0.6250 0.7500 0.3750
77 C 0.7500 0.3750 0.6250
78 C 0.7500 0.8750 0.1250
79 C 0.8750 0.1250 0.7500
80 C 0.8750 0.2500 0.1250

Entry 8:
This record from Alexandria describes NdSm2TlN after structural relaxation. The functional is PBE.

Values from the calculation:
The calculation puts the uncorrected formation energy at -0.845 eV per atom. The symmetry is P4/mmm, No. 123.

Cell lengths 4.9650, 4.9650, 5.0354 Å; angles 90.00, 90.00, 90.00 degrees
Sites, in units of the cell vectors:
1 Nd 0.0000 0.0000 0.0000
2 Sm 0.0000 0.5000 0.5000
3 Sm 0.5000 0.0000 0.5000
4 Tl 0.5000 0.5000 0.0000
5 N 0.0000 0.0000 0.5000

Taking the records one at a time from the top gives calculated total energy values of -9.41; -5.40; -5.95; -7.84; -3.55; -3.54; -5.88; -5.82 eV/atom.